No. 1
Ce2SbPd3 after structural relaxation, computed with PBE-GGA.

calculated volume: 258.4 Å³/cell
density of states at the Fermi level: 14.803 states/eV per cell
raw formation energy: -0.764 eV/atom

a = 5.7869 Å, b = 5.7869 Å, c = 9.3988 Å
α = 113.95°, β = 113.95°, γ = 71.43°
Closest atoms and distances in Å follow each position.
Fractional coordinates of all 12 atoms:
Ce 0.7500 0.2500 0.5000  8 Pd 3.17-3.19, 4 Sb 3.22, 2 Ce 3.38
Ce 0.7770 0.2230 0.0000  1 Ce 3.01, 10 Pd 3.13-3.28, 2 Sb 3.25
Ce 0.2500 0.7500 0.5000  8 Pd 3.17-3.19, 4 Sb 3.22, 2 Ce 3.38
Ce 0.2230 0.7770 0.0000  1 Ce 3.01, 10 Pd 3.13-3.28, 2 Sb 3.25
Sb 0.6632 0.6632 0.3264  3 Pd 2.66-2.71
Sb 0.3368 0.3368 0.6736  3 Pd 2.66-2.71
Pd 0.8311 0.8311 0.1680  1 Sb 2.66, 2 Pd 2.73-2.76
Pd 0.6631 0.6631 0.8320  1 Sb 2.66, 2 Pd 2.73-2.76
Pd 0.1689 0.1689 0.8320  1 Sb 2.66, 2 Pd 2.73-2.76
Pd 0.3369 0.3369 0.1680  1 Sb 2.66, 2 Pd 2.73-2.76
Pd 0.1705 0.1705 0.3409  1 Sb 2.71, 2 Pd 2.76
Pd 0.8295 0.8295 0.6591  1 Sb 2.71, 2 Pd 2.76

No. 2
Ce2SbPd8 after structural relaxation, computed with PBE-GGA.

calculated volume: 208.1 Å³/cell
density of states at the Fermi level: 11.113 states/eV per cell
raw formation energy: -0.582 eV/atom

a = 4.8532 Å, b = 5.9663 Å, c = 8.1493 Å
α = 111.47°, β = 107.32°, γ = 90.00°
Closest atoms and distances in Å follow each position.
Fractional coordinates of all 11 atoms:
Ce 0.8183 0.3183 0.6367  12 Pd 2.88-3.10
Ce 0.1817 0.6817 0.3633  12 Pd 2.88-3.10
Sb 0.5000 0.0000 0.0000  8 Pd 2.56-2.82
Pd 0.3576 0.5992 0.7151  1 Sb 2.56
Pd 0.6424 0.8841 0.2849  1 Sb 2.56
Pd 0.8154 0.8154 0.6308  8 Pd 2.87-3.02, 4 Ce 2.98-3.10
Pd 0.0000 0.2411 0.0001  2 Sb 2.82, 4 Pd 2.88-3.09, 2 Ce 3.03
Pd 0.1846 0.1846 0.3692  8 Pd 2.87-3.02, 4 Ce 2.98-3.10
Pd 0.3576 0.1159 0.7151  1 Sb 2.56
Pd 0.6424 0.4008 0.2849  1 Sb 2.56
Pd 0.0000 0.7589 0.9999  2 Sb 2.82, 4 Pd 2.88-3.09, 2 Ce 3.03

No. 3
CeSb2Pd6 after structural relaxation, computed with PBE-GGA.

calculated volume: 173.7 Å³/cell
excess energy over the best structure of this formula in the dataset: 0 meV per atom
density of states at the Fermi level: 7.692 states/eV per cell
raw formation energy: -0.466 eV/atom

a = 5.4744 Å, b = 5.8250 Å, c = 5.8250 Å
α = 72.32°, β = 81.09°, γ = 81.09°
Closest atoms and distances in Å follow each position.
Fractional coordinates of all 9 atoms:
Ce 0.0000 0.0000 0.0000  8 Pd 2.97-3.05
Sb 0.1983 0.6059 0.6059  6 Pd 2.69-2.78
Sb 0.8017 0.3941 0.3941  6 Pd 2.69-2.78
Pd 0.2363 0.0828 0.4923  2 Sb 2.69-2.78, 5 Pd 2.76-2.91, 1 Ce 2.97
Pd 0.7637 0.9172 0.5077  2 Sb 2.69-2.78, 5 Pd 2.76-2.91, 1 Ce 2.97
Pd 0.7637 0.5077 0.9172  2 Sb 2.69-2.78, 5 Pd 2.76-2.91, 1 Ce 2.97
Pd 0.5000 0.8030 0.1970  5 Pd 2.71-2.81, 2 Sb 2.73
Pd 0.5000 0.1970 0.8030  5 Pd 2.71-2.81, 2 Sb 2.73
Pd 0.2363 0.4923 0.0828  2 Sb 2.69-2.78, 5 Pd 2.76-2.91, 1 Ce 2.97

No. 4
Ce2SbPd after structural relaxation, computed with PBE-GGA.

calculated volume: 114.9 Å³/cell
excess energy over the best structure of this formula in the dataset: 542 meV per atom
density of states at the Fermi level: 8.669 states/eV per cell
raw formation energy: -0.156 eV/atom

a = 3.5722 Å, b = 3.5722 Å, c = 10.6021 Å
α = 80.30°, β = 80.30°, γ = 60.00°
Closest atoms and distances in Å follow each position.
Fractional coordinates of all 4 atoms:
Sb 0.0000 0.0000 0.0000  2 Ce 3.16
Pd 0.5000 0.5000 0.5000  6 Ce 2.90
Ce 0.1012 0.1012 0.6964  3 Pd 2.90, 1 Sb 3.16
Ce 0.8988 0.8988 0.3036  3 Pd 2.90, 1 Sb 3.16

No. 5
CeSb2Pd4 after structural relaxation, computed with PBE-GGA.

calculated volume: 277.9 Å³/cell
excess energy over the best structure of this formula in the dataset: 0 meV per atom
density of states at the Fermi level: 14.973 states/eV per cell
raw formation energy: -0.692 eV/atom

a = 4.3829 Å, b = 7.9629 Å, c = 7.9629 Å
α = 90.00°, β = 90.00°, γ = 90.00°
Closest atoms and distances in Å follow each position.
Fractional coordinates of all 14 atoms:
Ce 0.5000 0.0000 0.0000  6 Sb 3.19-3.28, 4 Pd 3.40
Ce 0.0000 0.5000 0.5000  6 Sb 3.19-3.28, 4 Pd 3.40
Sb 0.0000 0.2168 0.7832  6 Pd 2.70-2.74
Sb 0.0000 0.7832 0.2168  6 Pd 2.70-2.74
Sb 0.5000 0.7168 0.7168  6 Pd 2.70-2.74
Sb 0.5000 0.2832 0.2832  6 Pd 2.70-2.74
Pd 0.0000 0.0984 0.3535  3 Sb 2.70-2.74, 6 Pd 2.81-2.96
Pd 0.0000 0.9016 0.6465  3 Sb 2.70-2.74, 6 Pd 2.81-2.96
Pd 0.5000 0.1465 0.5984  3 Sb 2.70-2.74, 6 Pd 2.81-2.96
Pd 0.5000 0.8535 0.4016  3 Sb 2.70-2.74, 6 Pd 2.81-2.96
Pd 0.5000 0.4016 0.8535  3 Sb 2.70-2.74, 6 Pd 2.81-2.96
Pd 0.5000 0.5984 0.1465  3 Sb 2.70-2.74, 6 Pd 2.81-2.96
Pd 0.0000 0.3535 0.0984  3 Sb 2.70-2.74, 6 Pd 2.81-2.96
Pd 0.0000 0.6465 0.9016  3 Sb 2.70-2.74, 6 Pd 2.81-2.96

No. 6
Ce3Sb4Pd7 after structural relaxation, computed with PBE-GGA.

calculated volume: 293.3 Å³/cell
density of states at the Fermi level: 16.953 states/eV per cell
raw formation energy: -0.835 eV/atom

a = 4.4776 Å, b = 8.5692 Å, c = 8.5213 Å
α = 71.39°, β = 74.77°, γ = 74.86°
Closest atoms and distances in Å follow each position.
Fractional coordinates of all 14 atoms:
Ce 0.3220 0.1890 0.1670  8 Pd 2.97-3.26, 4 Sb 3.25-3.33
Ce 0.6780 0.8110 0.8330  8 Pd 2.97-3.26, 4 Sb 3.25-3.33
Ce 0.0000 0.5000 0.5000  6 Sb 3.19-3.36, 6 Pd 3.25-3.56
Sb 0.6655 0.4596 0.2094  5 Pd 2.65-2.79
Sb 0.3345 0.5404 0.7906  5 Pd 2.65-2.79
Sb 0.8799 0.8966 0.3436  6 Pd 2.72-2.76
Sb 0.1201 0.1034 0.6564  6 Pd 2.72-2.76
Pd 0.3184 0.8212 0.5421  4 Sb 2.65-2.74, 1 Pd 2.89
Pd 0.4988 0.1998 0.8026  3 Sb 2.76-2.79, 5 Pd 2.87-2.99, 1 Ce 2.97
Pd 0.8639 0.3631 0.9092  3 Sb 2.71-2.79, 3 Pd 2.87-2.89
Pd 0.6816 0.1788 0.4579  4 Sb 2.65-2.74, 1 Pd 2.89
Pd 0.1361 0.6369 0.0908  3 Sb 2.71-2.79, 3 Pd 2.87-2.89
Pd 0.0000 0.0000 0.0000  2 Sb 2.72, 6 Pd 2.89-2.99
Pd 0.5012 0.8002 0.1974  3 Sb 2.76-2.79, 5 Pd 2.87-2.99, 1 Ce 2.97